(1)
## Tl13Sb2 (PBE-GGA)

Data for Tl13Sb2 after structural relaxation.

As for the distance to the lowest polymorph of the same formula: 0.000 eV per atom. As for the uncorrected formation energy: 0.004 eV per atom. As for the density of states at the Fermi level: 7.16 states/eV per cell.

abc: 6.853 8.579 8.822
angles: 113.06 79.01 97.52
Element x y z (fractional)
Tl: 0.678 0.666 0.011
Tl: 0.322 0.334 0.989
Tl: 0.000 0.000 0.000
Tl: 0.270 0.063 0.594
Tl: 0.730 0.937 0.406
Tl: 0.130 0.528 0.764
Tl: 0.870 0.472 0.236
Tl: 0.368 0.589 0.399
Tl: 0.632 0.411 0.601
Tl: 0.477 0.862 0.802
Tl: 0.523 0.138 0.198
Tl: 0.806 0.209 0.813
Tl: 0.194 0.791 0.187
Sb: 0.921 0.761 0.609
Sb: 0.079 0.239 0.391



(2)
## Sm8Dy4Pu (PBE-GGA)

Data for Sm8Dy4Pu after structural relaxation.

The energy of formation comes out at 502 meV per atom. As for the density of states at the Fermi level: 19.94 states/eV per cell.

abc: 7.805 7.805 7.805
angles: 90.09 90.09 90.09
Element x y z (fractional)
Sm: 0.243 0.756 0.243
Sm: 0.757 0.757 0.244
Sm: 0.757 0.244 0.757
Sm: 0.244 0.757 0.757
Sm: 0.756 0.756 0.756
Sm: 0.244 0.244 0.244
Sm: 0.756 0.243 0.243
Sm: 0.243 0.243 0.756
Dy: 0.500 0.000 0.500
Dy: 0.000 0.500 0.500
Dy: 0.500 0.500 0.000
Dy: 0.000 0.000 0.000
Pu: 0.500 0.500 0.500



(3)
## Tb6CeSmY2 (PBE-GGA)

Data for Tb6CeSmY2 after structural relaxation.

The energy of formation comes out at 253 meV per atom. As for the density of states at the Fermi level: 22.12 states/eV per cell.

abc: 9.012 6.741 6.642
angles: 120.49 104.66 90.00
Element x y z (fractional)
Tb: 0.418 0.633 0.267
Tb: 0.195 0.076 0.669
Tb: 0.805 0.407 0.331
Tb: 0.195 0.593 0.669
Tb: 0.805 0.924 0.331
Tb: 0.582 0.367 0.733
Ce: 0.000 0.500 0.000
Sm: 0.500 0.000 0.000
Y: 0.172 0.094 0.187
Y: 0.828 0.906 0.813



(4)
## Sr3CdIr (PBE-GGA)

Data for Sr3CdIr after structural relaxation.

As for the distance to the lowest polymorph of the same formula: 0.056 eV per atom. The energy of formation comes out at -146 meV per atom. As for the density of states at the Fermi level: 2.02 states/eV per cell.

abc: 5.812 5.812 5.812
angles: 90.00 90.00 90.00
Element x y z (fractional)
Sr: 0.000 0.500 0.000
Sr: 0.000 0.000 0.500
Sr: 0.500 0.000 0.000
Ir: 0.000 0.000 0.000
Cd: 0.500 0.500 0.500